Material: Ce2Zn5Cu5
Method: DFT, PBE
State: optimized geometry

Values from the calculation:
Energy of formation from the pure elements in eV/atom: -0.18
V in Å³/cell: 200.00

Cell lengths 4.095, 5.278, 9.255 Å; angles 90.00, 90.00, 90.00 degrees
Fractional positions:
Ce  0.000  0.000  0.000
Ce  0.000  0.500  0.500
Zn  0.000  0.000  0.326
Zn  0.000  0.000  0.674
Zn  0.000  0.500  0.167
Zn  0.000  0.500  0.833
Zn  0.500  0.000  0.500
Cu  0.500  0.252  0.248
Cu  0.500  0.252  0.752
Cu  0.500  0.500  0.000
Cu  0.500  0.748  0.248
Cu  0.500  0.748  0.752

Material: CsHoAgCl6
Method: DFT, PBE
State: optimized geometry

Values from the calculation:
VASP energy in Ry/atom: -0.27500
V in Å³/cell: 324.36

Cell lengths 6.812, 6.824, 7.773 Å; angles 91.83, 92.04, 115.92 degrees
Fractional positions:
Cs  0.000  0.000  0.000
Ho  0.340  0.661  0.501
Ag  0.683  0.318  0.500
Cl  0.021  0.355  0.669
Cl  0.043  0.621  0.273
Cl  0.383  0.956  0.730
Cl  0.409  0.364  0.305
Cl  0.638  0.591  0.696
Cl  0.645  0.981  0.331

Material: TiCoSn
Method: DFT, PBE
State: optimized geometry

Values from the calculation:
Energy of formation from the pure elements in eV/atom: 0.52
V in Å³/cell: 117.32

Cell lengths 2.998, 2.998, 13.052 Å; angles 90.00, 90.00, 90.00 degrees
Fractional positions:
Ti  0.000  0.000  0.000
Ti  0.500  0.500  0.500
Co  0.000  0.000  0.840
Co  0.500  0.500  0.340
Sn  0.000  0.000  0.220
Sn  0.500  0.500  0.720

Material: Ta2BeVRe
Method: DFT, PBE
State: optimized geometry

Values from the calculation:
Energy of formation from the pure elements in eV/atom: 0.57
V in Å³/cell: 76.90

Cell lengths 4.500, 4.500, 3.798 Å; angles 90.00, 90.00, 90.00 degrees
Fractional positions:
Ta  0.000  0.500  0.000
Ta  0.500  0.000  0.000
Be  0.000  0.000  0.000
V  0.000  0.000  0.500
Re  0.500  0.500  0.500

Material: Li2TaS4
Method: DFT, PBE
State: optimized geometry

Values from the calculation:
V in Å³/cell: 256.79
Energy above the most stable polymorph in this dataset in meV/atom: 0.0

Cell lengths 13.248, 3.540, 6.144 Å; angles 90.00, 116.96, 90.00 degrees
Fractional positions:
Li  0.197  0.000  0.173
Li  0.303  0.500  0.827
Li  0.697  0.500  0.173
Li  0.803  0.000  0.827
Ta  0.000  0.500  0.500
Ta  0.500  0.000  0.500
S  0.066  0.500  0.185
S  0.140  0.000  0.721
S  0.360  0.500  0.279
S  0.434  0.000  0.815
S  0.566  0.000  0.185
S  0.640  0.500  0.721
S  0.860  0.000  0.279
S  0.934  0.500  0.815

Material: SbBr5
Method: DFT, PBE
State: optimized geometry

Values from the calculation:
VASP energy in Ry/atom: -0.15437
V in Å³/cell: 405.73

Cell lengths 7.470, 4.052, 13.403 Å; angles 90.00, 90.00, 90.00 degrees
Fractional positions:
Sb  0.000  0.000  0.000
Sb  0.000  0.500  0.500
Br  0.000  0.000  0.357
Br  0.000  0.000  0.642
Br  0.000  0.500  0.142
Br  0.000  0.500  0.857
Br  0.500  0.000  0.103
Br  0.500  0.000  0.435
Br  0.500  0.000  0.770
Br  0.500  0.500  0.270
Br  0.500  0.500  0.603
Br  0.500  0.500  0.935

Material: Tm3SbS2
Method: DFT, PBE
State: optimized geometry

Values from the calculation:
V in Å³/cell: 284.33
Energy above the most stable polymorph in this dataset in meV/atom: 0.0

Cell lengths 6.669, 6.669, 6.631 Å; angles 90.00, 90.00, 74.63 degrees
Fractional positions:
Tm  0.075  0.925  0.750
Tm  0.105  0.546  0.250
Tm  0.454  0.895  0.250
Tm  0.546  0.105  0.750
Tm  0.895  0.454  0.750
Tm  0.925  0.075  0.250
Sb  0.418  0.582  0.750
Sb  0.582  0.418  0.250
S  0.191  0.191  0.000
S  0.191  0.191  0.500
S  0.809  0.809  0.000
S  0.809  0.809  0.500

Material: CeNd3Tm12
Method: DFT, PBE
State: optimized geometry

Values from the calculation:
Energy of formation from the pure elements in eV/atom: 0.04
V in Å³/cell: 496.15

Cell lengths 4.989, 4.989, 19.935 Å; angles 90.00, 90.00, 90.00 degrees
Fractional positions:
Ce  0.000  0.000  0.000
Nd  0.000  0.000  0.248
Nd  0.000  0.000  0.500
Nd  0.000  0.000  0.752
Tm  0.000  0.500  0.122
Tm  0.000  0.500  0.374
Tm  0.000  0.500  0.626
Tm  0.000  0.500  0.878
Tm  0.500  0.000  0.122
Tm  0.500  0.000  0.374
Tm  0.500  0.000  0.626
Tm  0.500  0.000  0.878
Tm  0.500  0.500  0.000
Tm  0.500  0.500  0.249
Tm  0.500  0.500  0.500
Tm  0.500  0.500  0.751

Material: DyPuCd
Method: DFT, PBE
State: optimized geometry

Values from the calculation:
Energy of formation from the pure elements in eV/atom: -0.02
V in Å³/cell: 164.05
Energy above the most stable polymorph in this dataset in meV/atom: 0.0

Cell lengths 3.420, 3.420, 14.024 Å; angles 90.00, 90.00, 90.00 degrees
Fractional positions:
Dy  0.000  0.000  0.000
Dy  0.500  0.500  0.500
Pu  0.000  0.000  0.319
Pu  0.500  0.500  0.819
Cd  0.000  0.000  0.655
Cd  0.500  0.500  0.155

Material: ZrPaNi4
Method: DFT, PBE
State: optimized geometry

Values from the calculation:
Energy of formation from the pure elements in eV/atom: -0.35
V in Å³/cell: 88.30

Cell lengths 4.998, 4.998, 4.998 Å; angles 60.00, 60.00, 60.00 degrees
Fractional positions:
Zr  0.000  0.000  0.000
Pa  0.250  0.250  0.250
Ni  0.124  0.625  0.625
Ni  0.625  0.124  0.625
Ni  0.625  0.625  0.124
Ni  0.625  0.625  0.625

Material: CaZn9Ni2
Method: DFT, PBE
State: optimized geometry

Values from the calculation:
Energy of formation from the pure elements in eV/atom: -0.15
V in Å³/cell: 196.02
Energy above the most stable polymorph in this dataset in meV/atom: 73.9

Cell lengths 8.162, 8.162, 3.398 Å; angles 90.00, 90.00, 120.00 degrees
Fractional positions:
Ca  0.000  0.000  0.000
Zn  0.000  0.500  0.000
Zn  0.197  0.395  0.500
Zn  0.197  0.803  0.500
Zn  0.395  0.197  0.500
Zn  0.500  0.000  0.000
Zn  0.500  0.500  0.000
Zn  0.605  0.803  0.500
Zn  0.803  0.197  0.500
Zn  0.803  0.605  0.500
Ni  0.333  0.667  0.000
Ni  0.667  0.333  0.000

Material: Tb6Dy2Tm3
Method: DFT, PBE
State: optimized geometry

Values from the calculation:
Energy of formation from the pure elements in eV/atom: 0.30
V in Å³/cell: 362.82
Energy above the most stable polymorph in this dataset in meV/atom: 276.6

Cell lengths 16.826, 16.826, 16.826 Å; angles 163.98, 163.98, 22.73 degrees
Fractional positions:
Tb  0.121  0.621  0.500
Tb  0.198  0.198  0.000
Tb  0.379  0.879  0.500
Tb  0.621  0.121  0.500
Tb  0.802  0.802  0.000
Tb  0.879  0.379  0.500
Dy  0.046  0.046  0.000
Dy  0.954  0.954  0.000
Tm  0.301  0.301  0.000
Tm  0.500  0.500  0.000
Tm  0.699  0.699  0.000

Material: La3Zn6Ga2Ag
Method: DFT, PBE
State: optimized geometry

Values from the calculation:
Energy of formation from the pure elements in eV/atom: -0.20
V in Å³/cell: 276.32

Cell lengths 6.246, 6.246, 8.179 Å; angles 90.00, 90.00, 120.00 degrees
Fractional positions:
La  0.000  0.000  0.000
La  0.333  0.667  0.675
La  0.667  0.333  0.325
Zn  0.191  0.383  0.317
Zn  0.191  0.809  0.317
Zn  0.383  0.191  0.683
Zn  0.617  0.809  0.317
Zn  0.809  0.191  0.683
Zn  0.809  0.617  0.683
Ga  0.333  0.667  0.057
Ga  0.667  0.333  0.943
Ag  0.000  0.000  0.500

Material: VFeTe4
Method: DFT, PBE
State: optimized geometry

Values from the calculation:
V in Å³/cell: 272.42
Energy above the most stable polymorph in this dataset in meV/atom: 17.2

Cell lengths 8.573, 8.573, 5.771 Å; angles 109.31, 109.31, 120.50 degrees
Fractional positions:
V  0.050  0.950  0.750
V  0.950  0.050  0.250
Fe  0.312  0.688  0.250
Fe  0.688  0.312  0.750
Te  0.017  0.624  0.803
Te  0.235  0.358  0.854
Te  0.358  0.235  0.354
Te  0.376  0.983  0.697
Te  0.624  0.017  0.303
Te  0.642  0.765  0.646
Te  0.765  0.642  0.146
Te  0.983  0.376  0.197

Material: FeSn3Pt
Method: DFT, PBE
State: optimized geometry

Values from the calculation:
Energy of formation from the pure elements in eV/atom: 0.22
V in Å³/cell: 112.44

Cell lengths 4.827, 4.827, 4.827 Å; angles 90.00, 90.00, 90.00 degrees
Fractional positions:
Fe  0.000  0.000  0.000
Sn  0.000  0.000  0.500
Sn  0.000  0.500  0.000
Sn  0.500  0.000  0.000
Pt  0.500  0.500  0.500

Material: Sc2Ag4N
Method: DFT, PBE
State: optimized geometry

Values from the calculation:
VASP energy in Ry/atom: -0.31401
V in Å³/cell: 279.30

Cell lengths 4.180, 4.180, 15.982 Å; angles 90.00, 90.00, 90.00 degrees
Fractional positions:
Sc  0.000  0.000  0.184
Sc  0.000  0.000  0.816
Sc  0.500  0.500  0.316
Sc  0.500  0.500  0.684
Ag  0.000  0.000  0.355
Ag  0.000  0.000  0.645
Ag  0.000  0.500  0.000
Ag  0.000  0.500  0.500
Ag  0.500  0.000  0.000
Ag  0.500  0.000  0.500
Ag  0.500  0.500  0.145
Ag  0.500  0.500  0.855
N  0.000  0.000  0.500
N  0.500  0.500  0.000

Material: Cs4In3SnI12
Method: DFT, PBE
State: optimized geometry

Values from the calculation:
VASP energy in Ry/atom: -0.19340
V in Å³/cell: 950.70

Cell lengths 10.729, 10.729, 10.729 Å; angles 109.47, 109.47, 109.47 degrees
Fractional positions:
Cs  0.000  0.000  0.500
Cs  0.000  0.500  0.000
Cs  0.500  0.000  0.000
Cs  0.500  0.500  0.500
In  0.000  0.500  0.500
In  0.500  0.000  0.500
In  0.500  0.500  0.000
Sn  0.000  0.000  0.000
I  0.000  0.251  0.251
I  0.000  0.749  0.749
I  0.250  0.500  0.750
I  0.250  0.750  0.500
I  0.251  0.000  0.251
I  0.251  0.251  0.000
I  0.500  0.250  0.750
I  0.500  0.750  0.250
I  0.749  0.000  0.749
I  0.749  0.749  0.000
I  0.750  0.250  0.500
I  0.750  0.500  0.250

Material: TmThRu
Method: DFT, PBE
State: optimized geometry

Values from the calculation:
Energy of formation from the pure elements in eV/atom: -0.33
V in Å³/cell: 319.81
Energy above the most stable polymorph in this dataset in meV/atom: 23.5

Cell lengths 6.007, 4.046, 13.159 Å; angles 90.00, 90.00, 90.00 degrees
Fractional positions:
Tm  0.128  0.250  0.094
Tm  0.372  0.750  0.594
Tm  0.628  0.250  0.406
Tm  0.872  0.750  0.906
Th  0.125  0.750  0.343
Th  0.375  0.250  0.843
Th  0.625  0.750  0.157
Th  0.875  0.250  0.657
Ru  0.165  0.250  0.473
Ru  0.335  0.750  0.973
Ru  0.665  0.250  0.027
Ru  0.835  0.750  0.527

Material: HoGa3Ru2
Method: DFT, PBE
State: optimized geometry

Values from the calculation:
Energy of formation from the pure elements in eV/atom: -0.44
V in Å³/cell: 103.72

Cell lengths 5.380, 5.380, 4.137 Å; angles 90.00, 90.00, 120.00 degrees
Fractional positions:
Ho  0.000  0.000  0.000
Ga  0.000  0.500  0.500
Ga  0.500  0.000  0.500
Ga  0.500  0.500  0.500
Ru  0.333  0.667  0.000
Ru  0.667  0.333  0.000

Material: CsGeBiI6
Method: DFT, PBE
State: optimized geometry

Values from the calculation:
VASP energy in Ry/atom: -0.20059
V in Å³/cell: 474.02

Cell lengths 7.927, 7.927, 8.711 Å; angles 90.00, 90.00, 120.00 degrees
Fractional positions:
Cs  0.000  0.000  0.000
Ge  0.667  0.333  0.500
Bi  0.333  0.667  0.500
I  0.378  0.008  0.707
I  0.378  0.371  0.293
I  0.629  0.008  0.293
I  0.629  0.622  0.707
I  0.992  0.371  0.707
I  0.992  0.622  0.293

Material: CeUWC3
Method: DFT, PBE
State: optimized geometry

Values from the calculation:
Energy of formation from the pure elements in eV/atom: 0.12
V in Å³/cell: 206.69

Cell lengths 7.211, 3.603, 8.002 Å; angles 90.00, 96.26, 90.00 degrees
Fractional positions:
Ce  0.158  0.250  0.164
Ce  0.842  0.750  0.836
U  0.366  0.750  0.836
U  0.634  0.250  0.164
W  0.105  0.250  0.598
W  0.895  0.750  0.402
C  0.129  0.250  0.854
C  0.178  0.750  0.509
C  0.419  0.750  0.115
C  0.581  0.250  0.885
C  0.822  0.250  0.491
C  0.871  0.750  0.146

Material: La3Sc
Method: DFT, PBE
State: optimized geometry

Values from the calculation:
Energy of formation from the pure elements in eV/atom: 0.05
V in Å³/cell: 398.51

Cell lengths 3.628, 3.628, 34.952 Å; angles 90.00, 90.00, 120.00 degrees
Fractional positions:
La  0.000  0.000  0.000
La  0.000  0.000  0.245
La  0.000  0.000  0.755
La  0.333  0.667  0.422
La  0.333  0.667  0.667
La  0.333  0.667  0.911
La  0.667  0.333  0.089
La  0.667  0.333  0.333
La  0.667  0.333  0.578
Sc  0.000  0.000  0.500
Sc  0.333  0.667  0.167
Sc  0.667  0.333  0.833

Material: CoNiBr2
Method: DFT, PBE
State: optimized geometry

Values from the calculation:
V in Å³/cell: 179.44
Energy above the most stable polymorph in this dataset in meV/atom: 212.6

Cell lengths 3.428, 3.572, 14.655 Å; angles 90.00, 90.00, 90.00 degrees
Fractional positions:
Co  0.000  0.000  0.000
Co  0.500  0.500  0.500
Ni  0.000  0.500  0.610
Ni  0.500  0.000  0.110
Br  0.000  0.000  0.429
Br  0.000  0.500  0.161
Br  0.500  0.000  0.661
Br  0.500  0.500  0.929